1.
Below is a geometry-optimized Si2Te structure, with properties calculated at the PBE level.

Energy ... -10.67 eV per formula unit
Relative energy among the computed polymorphs ... 1083 meV/atom
Formation energy without anion corrections ... 3.3 eV/f.u.

Cell lengths 3.904, 3.904, 5.620 Å; angles 90.00, 90.00, 90.00 degrees
Fractional positions:
1 Si 0.000 0.000 0.000
2 Si 0.500 0.500 0.500
3 Te 0.000 0.000 0.500

2.
Below is a geometry-optimized Sr2In3Hg4Pb structure, with properties calculated at the PBE level.

Energy ... -19.38 eV per formula unit

Cell lengths 4.922, 4.922, 12.226 Å; angles 90.00, 90.00, 90.00 degrees
Fractional positions:
1 Sr 0.000 0.500 0.237
2 Sr 0.500 0.000 0.763
3 In 0.000 0.500 0.872
4 In 0.500 0.000 0.128
5 In 0.500 0.500 0.500
6 Hg 0.000 0.000 0.000
7 Hg 0.000 0.500 0.646
8 Hg 0.500 0.000 0.354
9 Hg 0.500 0.500 0.000
10 Pb 0.000 0.000 0.500